No. 1
CuSb3H after structural relaxation, computed with GGA-PBE.

Results
Total magnetization in μB per cell: 0.5
D(E_F) in states/eV/f.u.: 3.49
Energy above the most stable polymorph in this dataset in meV/atom: 306

Cell: 5.0980 5.0980 5.0980 Å, 90.00 90.00 90.00°
Space group Pm-3m (No. 221)
Symmetry-distinct sites (fractional):
1 Cu 0.0000 0.0000 0.0000
2 Sb 0.0000 0.0000 0.5000
3 H 0.5000 0.5000 0.5000

No. 2
CuSbH after structural relaxation, computed with GGA-PBE.

Results
Total magnetization in μB per cell: 0.0
D(E_F) in states/eV/f.u.: 0.67
Energy above the most stable polymorph in this dataset in meV/atom: 0

Cell: 3.7584 3.7584 7.7291 Å, 90.00 90.00 90.00°
Space group I4mm (No. 107)
Symmetry-distinct sites (fractional):
1 Cu 0.0000 0.0000 0.0000
2 Sb 0.0000 0.0000 0.4561
3 H 0.0000 0.0000 0.2215

No. 3
CuSb2H after structural relaxation, computed with GGA-PBE.

Results
Total magnetization in μB per cell: 0.0
D(E_F) in states/eV/f.u.: 1.34
Energy above the most stable polymorph in this dataset in meV/atom: 0

Cell: 4.0393 4.0393 19.4368 Å, 90.00 90.00 120.00°
Space group R-3m (No. 166, hexagonal axes)
Symmetry-distinct sites (fractional):
1 Cu 0.0000 0.0000 0.0000
2 Sb 0.0000 0.0000 0.3979
3 H 0.0000 0.0000 0.5000

No. 4
Cu2SbH after structural relaxation, computed with GGA-PBE.

Results
Total magnetization in μB per cell: 0.0
D(E_F) in states/eV/f.u.: 0.91
Energy above the most stable polymorph in this dataset in meV/atom: 0

Cell: 4.6538 4.6538 10.5172 Å, 90.00 90.00 90.00°
Space group I-42d (No. 122)
Symmetry-distinct sites (fractional):
1 Cu 0.0605 0.2500 0.1250
2 Sb 0.0000 0.0000 0.5000
3 H 0.0000 0.0000 0.0000

No. 5
CuSb3H after structural relaxation, computed with GGA-PBE.

Results
Total magnetization in μB per cell: 0.0
D(E_F) in states/eV/f.u.: 3.02
Energy above the most stable polymorph in this dataset in meV/atom: 0

Cell: 4.6530 4.6530 4.6530 Å, 90.00 90.00 90.00°
Space group Pm-3m (No. 221)
Symmetry-distinct sites (fractional):
1 Cu 0.0000 0.0000 0.0000
2 Sb 0.0000 0.5000 0.5000
3 H 0.5000 0.5000 0.5000

No. 6
CuSbH3 after structural relaxation, computed with GGA-PBE.

Results
Total magnetization in μB per cell: 0.0
D(E_F) in states/eV/f.u.: 1.34
Energy above the most stable polymorph in this dataset in meV/atom: 0

Cell: 3.6626 3.6626 3.6626 Å, 90.00 90.00 90.00°
Space group Pm-3m (No. 221)
Symmetry-distinct sites (fractional):
1 Cu 0.0000 0.0000 0.0000
2 Sb 0.5000 0.5000 0.5000
3 H 0.0000 0.0000 0.5000

No. 7
CuSb2H after structural relaxation, computed with GGA-PBE.

Results
Total magnetization in μB per cell: 0.0
D(E_F) in states/eV/f.u.: 1.63
Energy above the most stable polymorph in this dataset in meV/atom: 210

Cell: 6.4730 6.4730 6.8916 Å, 90.00 90.00 90.00°
Space group I-42d (No. 122)
Symmetry-distinct sites (fractional):
1 Cu 0.0000 0.0000 0.0000
2 Sb 0.1927 0.7500 0.6250
3 H 0.0000 0.0000 0.5000

No. 8
Cu2SbH after structural relaxation, computed with GGA-PBE.

Results
Total magnetization in μB per cell: 1.8
D(E_F) in states/eV/f.u.: 2.13
Energy above the most stable polymorph in this dataset in meV/atom: 414

Cell: 6.1150 6.1150 6.1150 Å, 90.00 90.00 90.00°
Space group Fm-3m (No. 225)
Symmetry-distinct sites (fractional):
1 Cu 0.2500 0.2500 0.2500
2 Sb 0.0000 0.0000 0.0000
3 H 0.0000 0.0000 0.5000